(1)
Material: Sm3Tl3SnS8
Method: DFT, PBE-GGA
State: relaxed

```
Sm3Tl3SnS8
1.0
8.0996 0.0000 -0.0001
-4.0498 7.0138 -0.0287
-0.0001 -4.6455 7.6491
Tl Sm S Sn
3 3 8 1
Direct
0.5000 0.5000 0.0000 Tl
0.0000 0.5000 0.0000 Tl
0.0000 0.0000 0.0000 Tl
0.0000 0.5000 0.5000 Sm
0.5000 0.5000 0.5000 Sm
0.5000 0.0000 0.5000 Sm
0.7335 0.4670 0.7005 S
0.2199 0.9733 0.6931 S
0.7801 0.5602 0.3069 S
0.2199 0.4398 0.6931 S
0.2665 0.5330 0.2995 S
0.7533 0.9733 0.6931 S
0.7801 0.0267 0.3069 S
0.2467 0.0267 0.3069 S
0.0000 0.0000 0.5000 Sn
```

## Properties
Energy relative to the elements, uncorrected ... -1.22 eV/atom
DOS(E_F) ... 0.045 states/eV/atom
Calculated volume ... 28.90 Å³ per atom
Crystal system ... trigonal

(2)
Material: Pu2ZnMo
Method: DFT, PBE-GGA
State: relaxed

```
Pu2ZnMo
1.0
-1.0643 2.2468 0.4520
-1.5659 -1.0768 1.6653
6.8571 1.7264 7.5639
Pu Mo Zn
2 1 1
Direct
0.0000 0.0000 0.7427 Pu
0.0000 0.0000 0.2573 Pu
0.5000 0.5000 0.0000 Mo
0.5000 0.5000 0.5000 Zn
```

## Properties
DOS(E_F) ... 2.077 states/eV/atom
Formation enthalpy at 0 K ... 35.1 kJ/mol of atoms
Calculated volume ... 16.53 Å³ per atom
Excess energy over the best structure of this formula in the dataset ... 0.176 eV per atom
Crystal system ... tetragonal

(3)
Material: CrHPd3
Method: DFT, PBE-GGA
State: relaxed

```
CrHPd3
1.0
-3.3073 3.3406 -2.2530
0.7460 -2.3567 -4.5895
-4.9630 -2.5158 -2.4753
Cr Pd H
2 6 2
Direct
0.8444 0.3444 0.3112 Cr
0.6556 0.1556 0.6888 Cr
0.1193 0.8664 0.7614 Pd
0.6321 0.6321 0.7359 Pd
0.3679 0.3679 0.2641 Pd
0.6278 0.8807 0.2386 Pd
0.1336 0.8807 0.2386 Pd
0.1193 0.3722 0.7614 Pd
0.2500 0.7500 0.5000 H
0.0000 0.0000 0.0000 H
```

## Properties
DOS(E_F) ... 0.620 states/eV/atom
Calculated volume ... 13.17 Å³ per atom
Excess energy over the best structure of this formula in the dataset ... 0.279 eV per atom
Crystal system ... tetragonal

(4)
Material: CaCd3B
Method: DFT, PBE-GGA
State: relaxed

```
CaCd3B
1.0
-3.2117 -3.4155 -0.8975
0.8731 -1.9435 4.2717
-3.4219 2.7099 1.9323
Cd Ca B
3 1 1
Direct
0.0000 0.0000 0.5000 Cd
0.5000 0.0000 0.0000 Cd
0.0000 0.5000 0.0000 Cd
0.5000 0.5000 0.5000 Ca
0.0000 0.0000 0.0000 B
```

## Properties
DOS(E_F) ... 0.651 states/eV/atom
Formation enthalpy at 0 K ... 31.5 kJ/mol of atoms
Calculated volume ... 21.75 Å³ per atom
Excess energy over the best structure of this formula in the dataset ... 0.000 eV per atom
Crystal system ... cubic

(5)
Material: La3Sm8Y
Method: DFT, PBE-GGA
State: relaxed

```
La3Sm8Y
1.0
7.2608 0.5262 -5.0379
-3.0720 8.1960 -1.3284
-1.7530 -0.5262 8.6618
Sm Y La
8 1 3
Direct
0.1685 0.9198 0.7512 Sm
0.1686 0.4174 0.2488 Sm
0.5015 0.7564 0.7449 Sm
0.8315 0.5826 0.7513 Sm
0.4985 0.2434 0.2549 Sm
0.0115 0.7566 0.2551 Sm
0.8314 0.0802 0.2487 Sm
0.9885 0.2436 0.7451 Sm
0.0000 0.0000 0.0000 Y
0.0000 0.5000 0.5000 La
0.5000 0.7545 0.2545 La
0.5000 0.2455 0.7455 La
```

## Properties
DOS(E_F) ... 1.281 states/eV/atom
Formation enthalpy at 0 K ... 25.9 kJ/mol of atoms
Calculated volume ... 37.09 Å³ per atom
Crystal system ... orthorhombic

(6)
Material: LaTb2Ce
Method: DFT, PBE-GGA
State: relaxed

```
LaTb2Ce
1.0
-4.3270 1.2850 3.5477
-4.6050 -3.4181 0.2667
-0.9297 -3.2044 4.6721
Tb Ce La
2 1 1
Direct
0.7500 0.7500 0.7500 Tb
0.2500 0.2500 0.2500 Tb
0.0000 0.0000 0.0000 Ce
0.5000 0.5000 0.5000 La
```

## Properties
DOS(E_F) ... 2.713 states/eV/atom
Formation enthalpy at 0 K ... 16.7 kJ/mol of atoms
Calculated volume ... 33.45 Å³ per atom
Excess energy over the best structure of this formula in the dataset ... 0.112 eV per atom
Crystal system ... cubic

(7)
Material: PrHo4Sc3
Method: DFT, PBE-GGA
State: relaxed

```
PrHo4Sc3
1.0
-5.0123 -3.3701 0.5362
3.3642 -4.2918 4.4726
-3.2709 6.2033 8.4128
Ho Sc Pr
8 6 2
Direct
0.9858 0.1306 0.7453 Ho
0.4858 0.8694 0.2453 Ho
0.1457 0.8710 0.5000 Ho
0.1406 0.8687 0.0000 Ho
0.9858 0.1306 0.2547 Ho
0.4858 0.8694 0.7547 Ho
0.6406 0.1313 0.5000 Ho
0.6457 0.1290 0.0000 Ho
0.9791 0.6204 0.2513 Sc
0.1507 0.3769 0.5000 Sc
0.4791 0.3796 0.2487 Sc
0.4791 0.3796 0.7513 Sc
0.6507 0.6231 0.0000 Sc
0.9791 0.6204 0.7487 Sc
0.6485 0.6185 0.5000 Pr
0.1485 0.3815 0.0000 Pr
```

## Properties
DOS(E_F) ... 1.637 states/eV/atom
Formation enthalpy at 0 K ... 3.1 kJ/mol of atoms
Calculated volume ... 29.27 Å³ per atom
Excess energy over the best structure of this formula in the dataset ... 0.000 eV per atom
Crystal system ... orthorhombic

(8)
Material: NiAg2As
Method: DFT, PBE-GGA
State: relaxed

```
NiAg2As
1.0
-2.0249 4.4238 1.3696
-2.6835 4.0133 -1.4959
-4.2742 -1.3203 1.1715
Ni Ag As
1 2 1
Direct
0.7500 0.7500 0.7500 Ni
0.4893 0.4893 0.5087 Ag
0.0107 0.0107 0.9913 Ag
0.2500 0.2500 0.2500 As
```

## Properties
DOS(E_F) ... 0.515 states/eV/atom
Formation enthalpy at 0 K ... 18.5 kJ/mol of atoms
Calculated volume ... 16.25 Å³ per atom
Crystal system ... monoclinic

The lowest DOS(E_F) belongs to which entry?
Sm3Tl3SnS8

What is the DOS(E_F) in the third record?
0.620 states/eV/atom